Entry 1:
The following is a GGA-PBE calculation of an optimized crystal structure of La3HN, from Alexandria via LeMat-Bulk.

Properties
- DOS at the Fermi energy: 0.994 states/eV/atom
- Calculated total energy: -59.8 eV/cell
- Space-group type: No. 11
- Offset from the most stable computed form: 0.0 meV per atom

Cell lengths 3.775, 6.563, 9.755 Å; angles 104.05, 90.00, 90.00 degrees
Fractional coordinates of all 10 atoms:
N 0.250 0.997 0.332
N 0.750 0.003 0.668
La 0.250 0.788 0.733
La 0.750 0.777 0.416
La 0.750 0.250 0.903
La 0.750 0.212 0.267
La 0.250 0.223 0.584
La 0.250 0.750 0.097
H 0.250 0.469 0.848
H 0.750 0.531 0.152

---

Entry 2:
The following is a GGA-PBE calculation of an optimized crystal structure of La4HN2, from Alexandria via LeMat-Bulk.

Properties
- DOS at the Fermi energy: 0.608 states/eV/atom
- Calculated total energy: -46.1 eV/cell
- Space-group type: No. 166
- Offset from the most stable computed form: 0.0 meV per atom

Cell lengths 3.683, 3.683, 13.165 Å; angles 81.96, 81.96, 60.00 degrees
Fractional coordinates of all 7 atoms:
La 0.116 0.116 0.652
La 0.884 0.884 0.348
La 0.710 0.710 0.870
La 0.290 0.290 0.130
N 0.415 0.415 0.756
N 0.585 0.585 0.244
H 0.000 0.000 0.000

---

Entry 3:
The following is a GGA-PBE calculation of an optimized crystal structure of La4H5N, from Alexandria via LeMat-Bulk.

Properties
- DOS at the Fermi energy: 0.534 states/eV/atom
- Calculated total energy: -51.1 eV/cell
- Space-group type: No. 12

Cell lengths 3.734, 6.952, 6.610 Å; angles 100.36, 106.41, 90.00 degrees
Fractional coordinates of all 10 atoms:
H 0.827 0.450 0.654
H 0.233 0.178 0.465
H 0.500 0.500 0.000
H 0.767 0.822 0.535
H 0.173 0.550 0.346
La 0.893 0.140 0.786
La 0.364 0.676 0.728
La 0.636 0.324 0.272
La 0.107 0.860 0.214
N 0.500 0.000 0.000

---

Entry 4:
The following is a GGA-PBE calculation of an optimized crystal structure of La2HN2, from Alexandria via LeMat-Bulk.

Properties
- DOS at the Fermi energy: 0.331 states/eV/atom
- Calculated total energy: -65.5 eV/cell
- Space-group type: No. 127
- Offset from the most stable computed form: 329.6 meV per atom

Cell lengths 6.936, 6.936, 3.290 Å; angles 90.00, 90.00, 90.00 degrees
Fractional coordinates of all 10 atoms:
La 0.337 0.163 0.500
La 0.163 0.663 0.500
La 0.837 0.337 0.500
La 0.663 0.837 0.500
H 0.000 0.000 0.000
H 0.500 0.500 0.000
N 0.154 0.346 0.000
N 0.654 0.154 0.000
N 0.846 0.654 0.000
N 0.346 0.846 0.000

---

Entry 5:
The following is a GGA-PBE calculation of an optimized crystal structure of La2H3N, from Alexandria via LeMat-Bulk.

Properties
- Calculated total energy: -66.0 eV/cell
- Space-group type: No. 224

Cell lengths 5.703, 5.703, 5.703 Å; angles 89.98, 89.98, 90.02 degrees
Fractional coordinates of all 12 atoms:
H 0.250 0.250 0.250
H 0.250 0.750 0.750
H 0.750 0.250 0.750
H 0.750 0.750 0.750
H 0.250 0.750 0.250
H 0.750 0.250 0.250
N 0.250 0.250 0.750
N 0.750 0.750 0.250
La 0.000 0.000 0.000
La 0.500 0.500 0.000
La 0.500 0.000 0.500
La 0.000 0.500 0.500

---

Entry 6:
The following is a GGA-PBE calculation of an optimized crystal structure of La2HN2, from Alexandria via LeMat-Bulk.

Properties
- DOS at the Fermi energy: 0.692 states/eV/atom
- Calculated total energy: -31.6 eV/cell
- Space-group type: No. 139
- Offset from the most stable computed form: 555.6 meV per atom

Cell lengths 4.793, 4.793, 5.665 Å; angles 64.98, 64.98, 90.00 degrees
Last column: magnetic moment on the atom in μB.
Fractional coordinates of all 5 atoms:
N 0.693 0.693 0.615  0.13
N 0.307 0.307 0.385  0.13
La 0.250 0.750 0.500  0.00
La 0.750 0.250 0.500  0.00
H 0.000 0.000 0.000  0.04

---

Entry 7:
The following is a GGA-PBE calculation of an optimized crystal structure of LaHN, from Alexandria via LeMat-Bulk.

Properties
- DOS at the Fermi energy: 0.434 states/eV/atom
- Calculated total energy: -35.8 eV/cell
- Space-group type: No. 63

Cell lengths 3.476, 3.641, 6.652 Å; angles 90.00, 105.14, 90.00 degrees
Last column: magnetic moment on the atom in μB.
Fractional coordinates of all 6 atoms:
H 0.752 0.750 0.504  0.00
H 0.248 0.250 0.496  0.00
La 0.879 0.250 0.757  0.00
La 0.121 0.750 0.243  0.00
N 0.572 0.250 0.145  0.09
N 0.428 0.750 0.855  0.09

---

Entry 8:
The following is a GGA-PBE calculation of an optimized crystal structure of La3HN2, from Alexandria via LeMat-Bulk.

Properties
- DOS at the Fermi energy: 0.433 states/eV/atom
- Calculated total energy: -41.1 eV/cell
- Space-group type: No. 71
- Offset from the most stable computed form: 0.0 meV per atom

Cell lengths 3.675, 5.299, 6.531 Å; angles 113.93, 106.34, 90.00 degrees
Fractional coordinates of all 6 atoms:
La 0.500 0.000 0.500
La 0.820 0.320 0.140
La 0.180 0.680 0.860
H 0.500 0.500 0.500
N 0.831 0.831 0.161
N 0.169 0.169 0.839

---

Question: What is the calculated total energy in the fifth record?
Answer: -66.0 eV/cell